Here is K2PmAsS4 after structural relaxation from Alexandria. Energies are from PBE.

ΔE_f (raw) = -1.136 eV per atom
SG = No. 74

Cell lengths 8.317, 8.317, 8.317 Å; angles 120.95, 119.04, 90.02 degrees
Atoms (fractional coordinates):
K  0.000  0.000  0.000
K  0.500  0.000  0.000
K  0.500  0.000  0.500
K  0.500  0.500  0.500
Pm  0.000  0.500  0.500
Pm  0.500  0.500  0.000
As  0.000  0.000  0.500
As  0.000  0.500  0.000
S  0.198  0.740  0.458
S  0.218  0.260  0.958
S  0.228  0.249  0.522
S  0.228  0.706  0.978
S  0.772  0.294  0.022
S  0.772  0.751  0.478
S  0.782  0.740  0.042
S  0.802  0.260  0.542



Here is ZnAgCl2 after structural relaxation from Alexandria. Energies are from PBE.

ΔE_f (raw) = -0.265 eV per atom
E above lowest polymorph = 0.2465 eV/atom
SG = No. 71

Cell lengths 5.410, 5.410, 5.410 Å; angles 139.35, 101.31, 92.59 degrees
Atoms (fractional coordinates):
Zn  0.000  0.000  0.000
Ag  0.500  0.500  0.000
Cl  0.246  0.746  0.500
Cl  0.754  0.254  0.500



Here is CeTl2AsSe4 after structural relaxation from Alexandria. Energies are from PBE.

ΔE_f (raw) = -0.721 eV per atom
SG = No. 74

Cell lengths 8.677, 8.677, 8.677 Å; angles 120.57, 119.29, 90.12 degrees
Atoms (fractional coordinates):
Ce  0.000  0.000  0.000
Ce  0.500  0.000  0.500
Tl  0.000  0.500  0.500
Tl  0.500  0.000  0.000
Tl  0.500  0.500  0.000
Tl  0.500  0.500  0.500
As  0.000  0.000  0.500
As  0.000  0.500  0.000
Se  0.199  0.240  0.959
Se  0.218  0.760  0.459
Se  0.228  0.206  0.477
Se  0.228  0.751  0.023
Se  0.772  0.249  0.977
Se  0.772  0.794  0.523
Se  0.782  0.240  0.541
Se  0.801  0.760  0.041



Here is Li2NiMo after structural relaxation from Alexandria. Energies are from PBE.

E above lowest polymorph = 0.5836 eV/atom
Energy of formation from the pure elements = 738 meV/atom
SG = No. 122

Cell lengths 5.316, 5.316, 5.316 Å; angles 101.74, 101.74, 126.38 degrees
Atoms (fractional coordinates):
Li  0.095  0.625  0.970
Li  0.375  0.345  0.470
Li  0.655  0.125  0.030
Li  0.875  0.905  0.530
Ni  0.000  0.000  0.000
Ni  0.750  0.250  0.500
Mo  0.250  0.750  0.500
Mo  0.500  0.500  0.000



Asked for uncorrected energy across the records above, the calculation gives -37.2; -8.9; -35.0; -17.5 eV/f.u. in order.
Asked for calculated volume across the records above, the calculation gives 25.4; 24.1; 28.9; 13.5 A^3/atom in order.